(1)
The following is a GGA-PBE calculation of a relaxed structure of SmDyHoTh, from Alexandria.

extended XYZ file:
```
4
Lattice="3.592 0.000 -0.002 -1.795 3.110 0.003 -1.796 -1.046 11.498" Properties=species:S:1:pos:R:3 pbc="T T T"
Sm 2.134 0.807 4.232
Dy 0.341 -0.234 7.165
Ho -1.454 2.884 1.282
Th -1.457 0.800 9.971
```

## Properties
E_tot	-5.319	eV per atom
total magnetization	0.000	μB/atom
energy of formation from the pure elements	11	meV per atom
energy above the most stable polymorph in this dataset	0.00	eV/f.u.

(2)
The following is a GGA-PBE calculation of a relaxed structure of Sm2Dy4HoTh, from Alexandria.

extended XYZ file:
```
8
Lattice="5.067 0.000 0.000 0.000 4.883 1.276 0.000 2.345 10.979" Properties=species:S:1:pos:R:3 pbc="T T T"
Sm 0.000 2.345 10.979
Sm 2.533 1.173 5.490
Dy 0.000 5.427 9.168
Dy 5.067 1.801 3.088
Dy 2.533 4.240 3.729
Dy 2.533 2.988 8.526
Ho 2.533 2.441 0.638
Th 0.000 3.614 6.128
```

## Properties
E_tot	-4.949	eV per atom
total magnetization	0.000	μB/atom
energy of formation from the pure elements	31	meV per atom

(3)
The following is a GGA-PBE calculation of a relaxed structure of SmDy2HoTh, from Alexandria.

extended XYZ file:
```
10
Lattice="-5.316 -2.589 2.422 3.421 0.295 7.822 -2.764 5.673 -0.002" Properties=species:S:1:pos:R:3 pbc="T T T"
Sm 0.000 0.000 0.000
Sm -1.382 2.836 -0.001
Dy -3.513 2.923 7.031
Dy -4.539 2.312 4.127
Dy -0.120 1.065 6.116
Dy -1.147 0.455 3.211
Ho -1.296 3.947 4.335
Ho -3.363 -0.569 5.907
Th -3.618 -0.008 1.333
Th -4.462 3.091 1.087
```

## Properties
E_tot	-4.851	eV per atom
total magnetization	0.000	μB/atom
energy of formation from the pure elements	333	meV per atom

(4)
The following is a GGA-PBE calculation of a relaxed structure of SmDy3HoTh, from Alexandria.

extended XYZ file:
```
12
Lattice="3.570 0.000 0.000 0.000 10.663 -0.402 0.000 -3.133 10.190" Properties=species:S:1:pos:R:3 pbc="T T T"
Sm 0.892 0.418 2.924
Sm 2.677 7.112 6.864
Dy 2.677 9.156 0.080
Dy 0.892 -1.625 9.709
Dy 0.892 5.241 4.404
Dy 2.677 2.290 5.384
Dy 2.677 3.399 1.948
Dy 0.892 4.131 7.841
Ho 0.892 -0.594 6.331
Ho 2.677 8.124 3.458
Th 0.892 6.276 1.004
Th 2.677 1.255 8.784
```

## Properties
E_tot	-5.065	eV per atom
total magnetization	0.000	μB/atom
energy of formation from the pure elements	23	meV per atom